Nd2Sc2O5 | OQMD via LeMat-Bulk | PBE | optimized geometry; total magnetization = 0.001 Bohr magnetons per cell; space group = P4/mmm (123)
1.0
-0.2333 -5.6670 4.8917
-0.0526 -2.6533 -3.0763
4.0605 -0.1302 0.0429
Sc Nd O
2 2 5
Direct
0.2327 0.5000 0.5000 Sc
0.7673 0.5000 0.5000 Sc
0.0000 0.0000 0.0000 Nd
0.5000 0.0000 0.0000 Nd
0.2396 0.5000 0.0000 O
0.7604 0.5000 0.0000 O
0.7604 0.0000 0.5000 O
0.2396 0.0000 0.5000 O
0.5000 0.5000 0.5000 O

CdH12C2S2N8Cl2 | OQMD via LeMat-Bulk | PBE | optimized geometry; space group = P2_1/c (14)
1.0
-4.9868 7.1584 0.0602
-3.5167 -2.4817 3.7850
10.5520 -1.5991 8.7557
N H Cd Cl C S
16 24 2 4 4 4
Direct
0.1898 0.7888 0.1341 N
0.2434 0.6851 0.8655 N
0.0049 0.7833 0.0494 N
0.0049 0.7167 0.5494 N
0.7072 0.6503 0.9631 N
0.7072 0.8497 0.4631 N
0.9951 0.2167 0.9506 N
0.2928 0.1503 0.5369 N
0.2434 0.8149 0.3655 N
0.7566 0.3149 0.1345 N
0.1898 0.7112 0.6341 N
0.8102 0.2888 0.3659 N
0.7566 0.1851 0.6345 N
0.9951 0.2833 0.4506 N
0.2928 0.3497 0.0369 N
0.8102 0.2112 0.8659 N
0.3215 0.2255 0.0979 H
0.2266 0.1555 0.7586 H
0.7478 0.1417 0.3718 H
0.0269 0.1465 0.0269 H
0.7734 0.6555 0.7414 H
0.9731 0.8535 0.9731 H
0.7478 0.3583 0.8718 H
0.2391 0.8402 0.9016 H
0.6785 0.7255 0.4021 H
0.7609 0.3402 0.5984 H
0.7912 0.2013 0.7847 H
0.9731 0.6465 0.4731 H
0.2522 0.8583 0.6282 H
0.7912 0.2987 0.2847 H
0.2088 0.7987 0.2153 H
0.7609 0.1598 0.0984 H
0.2391 0.6598 0.4016 H
0.3215 0.2745 0.5979 H
0.7734 0.8445 0.2414 H
0.0269 0.3535 0.5269 H
0.2266 0.3445 0.2586 H
0.2522 0.6417 0.1282 H
0.2088 0.7013 0.7153 H
0.6785 0.7745 0.9021 H
0.5000 0.5000 0.0000 Cd
0.5000 0.0000 0.5000 Cd
0.4052 0.1640 0.8143 Cl
0.5948 0.8360 0.1857 Cl
0.5948 0.6640 0.6857 Cl
0.4052 0.3360 0.3143 Cl
0.1242 0.1467 0.4535 C
0.8758 0.6467 0.0465 C
0.1242 0.3533 0.9535 C
0.8758 0.8533 0.5465 C
0.0596 0.9656 0.3331 S
0.9404 0.0344 0.6669 S
0.9404 0.4656 0.1669 S
0.0596 0.5344 0.8331 S

no.,DFT total energy (eV per atom)
1,-8.22
2,-5.16